1.
# BaTl4O6 | Alexandria | GGA-PBE | relaxed
# **Spin magnetization**: 0.000 μB per formula unit
# **Uncorrected energy**: -4.705 eV/atom
# **E_form (uncorrected)**: -22.26 kcal/mol of atoms
data_BaTl4O6
_chemical_formula_sum 'Ba2 Tl8 O12'
_cell_length_a 6.250
_cell_length_b 6.250
_cell_length_c 17.294
_cell_angle_alpha 90.00
_cell_angle_beta 90.00
_cell_angle_gamma 145.54
_space_group_name_H-M_alt 'P 1'
_space_group_IT_number 1
loop_
_space_group_symop_operation_xyz
'x,y,z'
loop_
_atom_site_label
_atom_site_type_symbol
_atom_site_fract_x
_atom_site_fract_y
_atom_site_fract_z
Ba1 Ba 0.182 0.818 0.750
Ba2 Ba 0.818 0.182 0.250
Tl1 Tl 0.074 0.926 0.132
Tl2 Tl 0.074 0.926 0.368
Tl3 Tl 0.355 0.645 0.042
Tl4 Tl 0.355 0.645 0.458
Tl5 Tl 0.645 0.355 0.542
Tl6 Tl 0.645 0.355 0.958
Tl7 Tl 0.926 0.074 0.632
Tl8 Tl 0.926 0.074 0.868
O1 O 0.000 0.000 0.000
O2 O 0.000 0.000 0.500
O3 O 0.158 0.842 0.250
O4 O 0.275 0.725 0.571
O5 O 0.275 0.725 0.929
O6 O 0.430 0.570 0.154
O7 O 0.430 0.570 0.346
O8 O 0.570 0.430 0.654
O9 O 0.570 0.430 0.846
O10 O 0.725 0.275 0.071
O11 O 0.725 0.275 0.429
O12 O 0.842 0.158 0.750

=====

2.
# Ba3Tl5O12 | Alexandria | GGA-PBE | relaxed
# **Spin magnetization**: 3.161 μB per formula unit
# **Uncorrected energy**: -4.960 eV/atom
# **E_form (uncorrected)**: -25.48 kcal/mol of atoms
data_Ba3Tl5O12
_chemical_formula_sum 'Ba12 Tl20 O48'
_cell_length_a 12.397
_cell_length_b 12.397
_cell_length_c 12.397
_cell_angle_alpha 109.47
_cell_angle_beta 109.47
_cell_angle_gamma 109.47
_space_group_name_H-M_alt 'P 1'
_space_group_IT_number 1
loop_
_space_group_symop_operation_xyz
'x,y,z'
loop_
_atom_site_label
_atom_site_type_symbol
_atom_site_fract_x
_atom_site_fract_y
_atom_site_fract_z
Ba1 Ba 0.125 0.250 0.375
Ba2 Ba 0.125 0.375 0.750
Ba3 Ba 0.250 0.375 0.125
Ba4 Ba 0.250 0.875 0.625
Ba5 Ba 0.375 0.125 0.250
Ba6 Ba 0.375 0.750 0.125
Ba7 Ba 0.625 0.250 0.875
Ba8 Ba 0.625 0.875 0.750
Ba9 Ba 0.750 0.125 0.375
Ba10 Ba 0.750 0.625 0.875
Ba11 Ba 0.875 0.625 0.250
Ba12 Ba 0.875 0.750 0.625
Tl1 Tl 0.000 0.000 0.000
Tl2 Tl 0.000 0.000 0.500
Tl3 Tl 0.000 0.500 0.000
Tl4 Tl 0.000 0.500 0.500
Tl5 Tl 0.125 0.750 0.875
Tl6 Tl 0.125 0.875 0.250
Tl7 Tl 0.250 0.125 0.875
Tl8 Tl 0.250 0.625 0.375
Tl9 Tl 0.375 0.250 0.625
Tl10 Tl 0.375 0.625 0.750
Tl11 Tl 0.500 0.000 0.000
Tl12 Tl 0.500 0.000 0.500
Tl13 Tl 0.500 0.500 0.000
Tl14 Tl 0.500 0.500 0.500
Tl15 Tl 0.625 0.375 0.250
Tl16 Tl 0.625 0.750 0.375
Tl17 Tl 0.750 0.375 0.625
Tl18 Tl 0.750 0.875 0.125
Tl19 Tl 0.875 0.125 0.750
Tl20 Tl 0.875 0.250 0.125
O1 O 0.028 0.202 0.121
O2 O 0.028 0.326 0.906
O3 O 0.080 0.702 0.674
O4 O 0.080 0.879 0.406
O5 O 0.094 0.621 0.420
O6 O 0.094 0.972 0.674
O7 O 0.121 0.028 0.202
O8 O 0.121 0.594 0.920
O9 O 0.174 0.202 0.580
O10 O 0.174 0.472 0.594
O11 O 0.202 0.121 0.028
O12 O 0.202 0.580 0.174
O13 O 0.298 0.326 0.920
O14 O 0.298 0.472 0.379
O15 O 0.326 0.906 0.028
O16 O 0.326 0.920 0.298
O17 O 0.379 0.298 0.472
O18 O 0.379 0.580 0.906
O19 O 0.406 0.080 0.879
O20 O 0.406 0.826 0.528
O21 O 0.420 0.094 0.621
O22 O 0.420 0.826 0.798
O23 O 0.472 0.379 0.298
O24 O 0.472 0.594 0.174
O25 O 0.528 0.406 0.826
O26 O 0.528 0.621 0.702
O27 O 0.580 0.174 0.202
O28 O 0.580 0.906 0.379
O29 O 0.594 0.174 0.472
O30 O 0.594 0.920 0.121
O31 O 0.621 0.420 0.094
O32 O 0.621 0.702 0.528
O33 O 0.674 0.080 0.702
O34 O 0.674 0.094 0.972
O35 O 0.702 0.528 0.621
O36 O 0.702 0.674 0.080
O37 O 0.798 0.420 0.826
O38 O 0.798 0.879 0.972
O39 O 0.826 0.528 0.406
O40 O 0.826 0.798 0.420
O41 O 0.879 0.406 0.080
O42 O 0.879 0.972 0.798
O43 O 0.906 0.028 0.326
O44 O 0.906 0.379 0.580
O45 O 0.920 0.121 0.594
O46 O 0.920 0.298 0.326
O47 O 0.972 0.674 0.094
O48 O 0.972 0.798 0.879

=====

3.
# BaTl3O | Alexandria | GGA-PBE | relaxed
# **Energy relative to the lowest polymorph listed for this composition**: 0.0000 eV per atom
# **Spin magnetization**: 0.000 μB per formula unit
# **Uncorrected energy**: -3.103 eV/atom
# **E_form (uncorrected)**: -7.09 kcal/mol of atoms
data_BaTl3O
_chemical_formula_sum 'Ba1 Tl3 O1'
_cell_length_a 5.307
_cell_length_b 5.307
_cell_length_c 5.307
_cell_angle_alpha 90.00
_cell_angle_beta 90.00
_cell_angle_gamma 90.00
_space_group_name_H-M_alt 'P 1'
_space_group_IT_number 1
loop_
_space_group_symop_operation_xyz
'x,y,z'
loop_
_atom_site_label
_atom_site_type_symbol
_atom_site_fract_x
_atom_site_fract_y
_atom_site_fract_z
Ba1 Ba 0.000 0.000 0.000
Tl1 Tl 0.000 0.500 0.500
Tl2 Tl 0.500 0.000 0.500
Tl3 Tl 0.500 0.500 0.000
O1 O 0.500 0.500 0.500